Entry 1:
A plane-wave DFT calculation with PBE was carried out for an optimized crystal structure of KCdAg2F6.

Output
For the formation energy without anion corrections, the calculation gives -1.735 eV per atom. As for the space-group type: No. 14.

a b c (Å): 5.908 6.343 9.059
angles (deg): 90.00 90.79 90.00
Last column: magnetic moment on the atom in μB.
Fractional positions:
Cd 0.000 0.500 0.000  0.00
F 0.679 0.153 0.290  0.08
F 0.684 0.255 0.638  0.05
F 0.321 0.847 0.710  0.08
F 0.816 0.755 0.862  0.05
Ag 0.006 0.947 0.289  0.26
K 0.500 0.000 0.000  0.00
F 0.683 0.339 0.957  0.03
F 0.817 0.839 0.543  0.03
Ag 0.494 0.447 0.211  0.26
F 0.821 0.653 0.210  0.08
F 0.316 0.745 0.362  0.05
Ag 0.506 0.553 0.789  0.26
F 0.184 0.245 0.138  0.05
F 0.317 0.661 0.043  0.03
Ag 0.994 0.053 0.711  0.26
F 0.179 0.347 0.790  0.08
Cd 0.500 0.000 0.500  0.00
F 0.183 0.161 0.457  0.03
K 0.000 0.500 0.500  0.00

Entry 2:
A plane-wave DFT calculation with PBE was carried out for an optimized crystal structure of Dy2Y3Er9.

Output
The total energy comes out at -67.973 eV per formula unit. As for the space-group type: No. 2.

a b c (Å): 6.189 10.424 13.495
angles (deg): 40.12 54.73 55.68
Fractional positions:
Y 0.623 0.351 0.272
Er 0.000 0.500 0.500
Y 0.377 0.649 0.728
Er 0.012 0.838 0.495
Er 0.597 0.009 0.303
Dy 0.583 0.667 0.300
Er 0.809 0.489 0.899
Er 0.988 0.162 0.505
Dy 0.417 0.333 0.700
Er 0.191 0.511 0.101
Er 0.739 0.840 0.915
Er 0.403 0.991 0.697
Er 0.261 0.160 0.085
Y 0.000 0.000 0.000

Entry 3:
A plane-wave DFT calculation with PBE was carried out for an optimized crystal structure of TaWC2.

Output
Its energy above the most stable polymorph in this dataset is 2.4533 eV per atom. As for the space-group type: No. 216.

a b c (Å): 4.137 4.137 4.137
angles (deg): 60.00 60.00 60.00
Fractional positions:
C 0.250 0.250 0.250
Ta 0.500 0.500 0.500
C 0.000 0.000 0.000
W 0.750 0.750 0.750

Entry 4:
A plane-wave DFT calculation with PBE was carried out for an optimized crystal structure of Sn2ClO.

Output
Its energy above the most stable polymorph in this dataset is 0.0000 eV per atom. For the formation energy without anion corrections, the calculation gives -0.661 eV per atom. As for the space-group type: No. 12.

a b c (Å): 3.497 6.010 8.192
angles (deg): 96.35 102.32 90.00
Fractional positions:
O 0.500 0.500 0.500
Cl 0.250 0.750 0.000
Sn 0.400 0.136 0.300
Sn 0.600 0.864 0.700
Sn 0.900 0.636 0.300
Sn 0.100 0.364 0.700
O 0.000 0.000 0.500
Cl 0.750 0.250 0.000

Entry 5:
A plane-wave DFT calculation with PBE was carried out for an optimized crystal structure of CeNb2CrN4.

Output
For the formation energy without anion corrections, the calculation gives -1.032 eV per atom. As for the space-group type: No. 63.

a b c (Å): 3.123 5.732 10.916
angles (deg): 90.00 90.00 105.81
Fractional positions:
Cr 0.841 0.682 0.750
N 0.554 0.109 0.250
N 0.272 0.544 0.115
N 0.000 0.000 0.000
Nb 0.632 0.264 0.054
Nb 0.368 0.736 0.554
N 0.728 0.456 0.615
N 0.272 0.544 0.385
N 0.446 0.891 0.750
Nb 0.368 0.736 0.946
N 0.728 0.456 0.885
N 0.000 0.000 0.500
Ce 0.895 0.791 0.250
Cr 0.159 0.318 0.250
Nb 0.632 0.264 0.446
Ce 0.105 0.209 0.750

Entry 6:
A plane-wave DFT calculation with PBE was carried out for an optimized crystal structure of Nd2Cu2Ni.

Output
The total energy comes out at -24.748 eV per formula unit. As for the space-group type: No. 12.

a b c (Å): 4.012 5.645 10.171
angles (deg): 86.35 78.62 69.18
Fractional positions:
Ni 0.582 0.152 0.684
Cu 0.622 0.870 0.886
Cu 0.378 0.130 0.114
Nd 0.086 0.710 0.117
Cu 0.952 0.676 0.419
Nd 0.302 0.754 0.641
Nd 0.914 0.290 0.883
Ni 0.418 0.848 0.316
Nd 0.698 0.246 0.359
Cu 0.048 0.324 0.581

Entry 7:
A plane-wave DFT calculation with PBE was carried out for an optimized crystal structure of Tb3PmEr2S6.

Output
For the formation energy without anion corrections, the calculation gives -1.997 eV per atom. As for the space-group type: No. 12.

a b c (Å): 6.806 6.806 6.791
angles (deg): 99.59 99.59 120.19
Fractional positions:
Er 0.334 0.666 0.000
S 0.917 0.574 0.750
S 0.261 0.261 0.753
Er 0.666 0.334 0.000
Tb 0.838 0.162 0.500
S 0.739 0.739 0.247
S 0.426 0.083 0.250
Tb 0.162 0.838 0.500
Tb 0.500 0.500 0.500
S 0.083 0.426 0.250
S 0.574 0.917 0.750
Pm 0.000 0.000 0.000

Entry 8:
A plane-wave DFT calculation with PBE was carried out for an optimized crystal structure of ErUTc.

Output
Its energy above the most stable polymorph in this dataset is 0.2393 eV per atom. As for the space-group type: No. 187.

a b c (Å): 3.388 4.687 4.687
angles (deg): 120.00 90.00 90.00
Last column: magnetic moment on the atom in μB.
Fractional positions:
Er 0.667 0.333 0.667  0.31
U 0.167 0.667 0.333  2.11
Tc 0.167 0.000 0.000  -0.15

Number 1: calculated volume 17.0 Å³ per atom. Number 2: calculated volume 31.8 Å³ per atom. Number 3: calculated volume 12.5 Å³ per atom. Number 4: calculated volume 20.9 Å³ per atom. Number 5: calculated volume 11.7 Å³ per atom. Number 6: calculated volume 21.1 Å³ per atom. Number 7: calculated volume 21.4 Å³ per atom. Number 8: calculated volume 21.5 Å³ per atom.